Record 1
Computed, not measured: Cr2WSe2 after structural relaxation at the PBE level of DFT.

Summary:
Formation energy without anion corrections in kJ per mole of atoms: 76
Polymorph energy (0 for the lowest one) in kJ/mol of atoms: 32.5
Density of states at the Fermi level in states/eV per atom: 1.0171

a b c (Å): 4.2298 4.2298 5.3238
angles (deg): 66.59 66.59 90.00
Each line ends with the local moment (μB).
Fractional coordinates of all 5 atoms:
Cr1 0.7500 0.2500 0.5000  -0.43
Cr2 0.2500 0.7500 0.5000  -0.43
W1 0.0000 0.0000 0.0000  1.67
Se1 0.6388 0.6388 0.7225  0.05
Se2 0.3612 0.3612 0.2775  0.05


Record 2
Computed, not measured: Pu6UGe6 after structural relaxation at the PBE level of DFT.

Summary:
ΔH_f (0 K) in meV/atom: -163
Density of states at the Fermi level in states/eV per atom: 2.8961

a b c (Å): 5.8247 5.8370 9.4397
angles (deg): 90.00 90.00 115.90
Each line ends with the local moment (μB).
Fractional coordinates of all 13 atoms:
U1 0.0000 0.0000 0.0000  2.32
Ge1 0.6098 0.3507 0.0000  0.01
Ge2 0.3902 0.6493 0.0000  0.01
Ge3 0.8076 0.2571 0.5000  0.00
Ge4 0.1924 0.7429 0.5000  0.00
Ge5 0.0000 0.0000 0.6875  0.02
Ge6 0.0000 0.0000 0.3125  0.02
Pu1 0.0000 0.5000 0.7806  -5.06
Pu2 0.0000 0.5000 0.2194  -5.06
Pu3 0.5000 0.0000 0.7616  4.89
Pu4 0.5000 0.5000 0.3058  -5.18
Pu5 0.5000 0.0000 0.2384  4.89
Pu6 0.5000 0.5000 0.6942  -5.18


Record 3
Computed, not measured: Li3Ag2Sn4Au2 after structural relaxation at the PBE level of DFT.

Summary:
ΔH_f (0 K) in meV/atom: -243
Density of states at the Fermi level in states/eV per atom: 0.3071

a b c (Å): 4.7443 4.7443 12.0928
angles (deg): 90.00 90.00 120.00
Fractional coordinates of all 11 atoms:
Ag1 0.6667 0.3333 0.3612
Ag2 0.3333 0.6667 0.6388
Sn1 0.3333 0.6667 0.8773
Sn2 0.3333 0.6667 0.3984
Sn3 0.6667 0.3333 0.1227
Sn4 0.6667 0.3333 0.6016
Li1 0.0000 0.0000 0.7448
Li2 0.0000 0.0000 0.2552
Li3 0.0000 0.0000 0.0000
Au1 0.6667 0.3333 0.8699
Au2 0.3333 0.6667 0.1301


Record 4
Computed, not measured: AlRe2Si after structural relaxation at the PBE level of DFT.

Summary:
Formation energy without anion corrections in kJ per mole of atoms: -7
Polymorph energy (0 for the lowest one) in kJ/mol of atoms: 18.6
Density of states at the Fermi level in states/eV per atom: 0.7709

a b c (Å): 4.2680 4.2680 4.2680
angles (deg): 60.00 60.00 60.00
Fractional coordinates of all 4 atoms:
Si1 0.5000 0.5000 0.5000
Re1 0.7500 0.7500 0.7500
Re2 0.2500 0.2500 0.2500
Al1 0.0000 0.0000 0.0000